DFT (PBE) results for Gd2TmTe after structural relaxation.

Properties
Total moment (Bohr magnetons per cell): 15.1
Mass density (Mg/m³): 8.6
Raw formation energy (eV/atom): -0.59
Volume (Å³ per cell): 118.4
N(E_F) (states/eV/f.u.): 3.9
Uncorrected energy (eV/cell): -38.15
Energy above the most stable polymorph in this dataset (meV per atom): 0

a b c (Å): 3.922 3.922 7.695
angles (deg): 90.00 90.00 90.00
Last column: magnetic moment on the atom in μB.
Positions (direct):
Gd1 0.000 0.000 0.727  7.18
Gd2 0.000 0.000 0.273  7.18
Tm1 0.500 0.500 0.000  0.17
Te1 0.500 0.500 0.500  -0.05

---

DFT (PBE) results for La2LuAg after structural relaxation.

Properties
Total moment (Bohr magnetons per cell): 0.0
Mass density (Mg/m³): 7.5
Volume (Å³ per cell): 123.6
Energy of formation (eV/atom): -0.09
N(E_F) (states/eV/f.u.): 6.2
Uncorrected energy (eV/cell): -17.58
Energy above the most stable polymorph in this dataset (meV per atom): 0

a b c (Å): 3.840 3.840 8.386
angles (deg): 90.00 90.00 90.00
Positions (direct):
Lu1 0.500 0.500 0.500
Ag1 0.500 0.500 0.000
La1 0.000 0.000 0.774
La2 0.000 0.000 0.226

---

DFT (PBE) results for GaP2Ru after structural relaxation.

Properties
Total moment (Bohr magnetons per cell): 0.0
Mass density (Mg/m³): 4.9
Volume (Å³ per cell): 156.3
Energy of formation (eV/atom): -0.17
N(E_F) (states/eV/f.u.): 2.7
Uncorrected energy (eV/cell): -47.58

a b c (Å): 5.442 5.442 6.531
angles (deg): 65.38 65.38 90.00
Positions (direct):
Ru1 0.000 0.000 0.000
Ru2 0.750 0.250 0.500
Ga1 0.500 0.500 0.000
Ga2 0.250 0.750 0.500
P1 0.648 0.125 0.250
P2 0.102 0.625 0.250
P3 0.375 0.352 0.750
P4 0.875 0.898 0.750

---

DFT (PBE) results for Cs2Tl2Cd after structural relaxation.

Properties
Total moment (Bohr magnetons per cell): 0.0
Mass density (Mg/m³): 5.2
Volume (Å³ per cell): 249.6
Energy of formation (eV/atom): 0.03
N(E_F) (states/eV/f.u.): 5.2
Uncorrected energy (eV/cell): -7.23
Energy above the most stable polymorph in this dataset (meV per atom): 100

a b c (Å): 4.583 4.583 12.315
angles (deg): 79.28 79.28 90.00
Positions (direct):
Cs1 0.396 0.396 0.208
Cs2 0.604 0.604 0.792
Tl1 0.750 0.250 0.500
Tl2 0.250 0.750 0.500
Cd1 0.000 0.000 0.000

---

DFT (PBE) results for Y2PuTh3S6 after structural relaxation.

Properties
Total moment (Bohr magnetons per cell): 5.1
Mass density (Mg/m³): 8.1
Raw formation energy (eV/atom): -1.88
Volume (Å³ per cell): 268.2
N(E_F) (states/eV/f.u.): 10.0
Uncorrected energy (eV/cell): -96.86

a b c (Å): 3.958 8.021 8.980
angles (deg): 104.95 102.73 90.00
Last column: magnetic moment on the atom in μB.
Positions (direct):
Y1 0.835 0.669 0.670  0.01
Y2 0.165 0.331 0.330  0.01
Pu1 0.500 0.000 0.000  5.23
Th1 0.500 0.500 0.000  -0.08
Th2 0.834 0.165 0.667  -0.06
Th3 0.166 0.835 0.333  -0.06
S1 0.336 0.908 0.672  -0.02
S2 0.670 0.576 0.341  0.00
S3 0.664 0.092 0.328  -0.02
S4 0.003 0.243 0.006  -0.04
S5 0.997 0.757 0.994  -0.04
S6 0.330 0.424 0.659  0.00

---

DFT (PBE) results for AcPm2Ho after structural relaxation.

Properties
Total moment (Bohr magnetons per cell): 0.0
Mass density (Mg/m³): 7.8
Volume (Å³ per cell): 144.3
Energy of formation (eV/atom): 0.05
N(E_F) (states/eV/f.u.): 5.5
Uncorrected energy (eV/cell): -17.99
Energy above the most stable polymorph in this dataset (meV per atom): 12

a b c (Å): 3.722 3.722 12.218
angles (deg): 81.24 81.24 60.00
Positions (direct):
Ac1 0.500 0.500 0.500
Pm1 0.079 0.079 0.762
Pm2 0.254 0.254 0.237
Ho1 0.667 0.667 0.000